A geometry-optimized In2SnHgPt structure. Source: Alexandria via LeMat-Bulk, functional PBE.

## Properties
Energy relative to the elements in meV/atom: -101

Lattice parameters (Å, degrees): 5.207 5.207 5.303 90.00 90.00 90.00
Sites, in units of the cell vectors:
In: 0.000 0.500 0.000
In: 0.500 0.000 0.000
Sn: 0.000 0.000 0.500
Hg: 0.500 0.500 0.500
Pt: 0.000 0.000 0.000